(1)
Compound: K2RbIO
Source: Alexandria via LeMat-Bulk
Functional: PBE
Structure: relaxed

Cell: 5.4003 5.4003 5.6476 Å, 90.00 90.00 90.00°
Element x y z (fractional)
1 K 0.5000 0.0000 0.0000
2 K 0.0000 0.5000 0.0000
3 Rb 0.0000 0.0000 0.5000
4 O 0.0000 0.0000 0.0000
5 I 0.5000 0.5000 0.5000

Calculated values
SG: P4/mmm, No. 123
Excess energy over the best structure of this formula in the dataset (kJ/mol of formula units): 0
Total magnetization (μB/f.u.): 0.00
E_tot (eV/atom): -3.155

(2)
Compound: K2RbIO
Source: Alexandria via LeMat-Bulk
Functional: PBE
Structure: relaxed

Cell: 4.5447 9.5258 8.8870 Å, 90.00 90.00 103.80°
Each line ends with the local moment (μB).
Element x y z (fractional)
1 Rb 0.4975 0.9950 0.2500  0.00
2 Rb 0.5025 0.0050 0.7500  0.00
3 O 0.0000 0.0000 0.5000  0.08
4 O 0.0000 0.0000 0.0000  0.08
5 K 0.1319 0.2638 0.9929  0.00
6 K 0.1319 0.2638 0.5071  0.00
7 K 0.8681 0.7362 0.4929  0.00
8 K 0.8681 0.7362 0.0071  0.00
9 I 0.2790 0.5581 0.2500  0.00
10 I 0.7210 0.4419 0.7500  0.00

Calculated values
SG: Cmcm, No. 63
Excess energy over the best structure of this formula in the dataset (kJ/mol of formula units): 58
Total magnetization (μB/f.u.): 0.09
E_tot (eV/atom): -3.034

(3)
Compound: KReIO2
Source: Alexandria via LeMat-Bulk
Functional: PBE
Structure: relaxed

Cell: 4.6084 4.6084 6.5715 Å, 90.00 90.00 90.00°
Each line ends with the local moment (μB).
Element x y z (fractional)
1 Re 0.5000 0.5000 0.5000  4.08
2 O 0.5000 0.0000 0.0000  1.04
3 O 0.0000 0.5000 0.0000  1.04
4 I 0.0000 0.0000 0.5000  0.05
5 K 0.0000 0.0000 0.0000  0.07

Calculated values
SG: P4/mmm, No. 123
Excess energy over the best structure of this formula in the dataset (kJ/mol of formula units): 1065
Fermi-level density of states (states/eV per cell): 3.2
Total magnetization (μB/f.u.): 7.73
E_tot (eV/atom): -3.523

(4)
Compound: KReIO2
Source: Alexandria via LeMat-Bulk
Functional: PBE
Structure: relaxed

Cell: 4.0485 4.0485 5.9861 Å, 90.00 90.00 90.00°
Each line ends with the local moment (μB).
Element x y z (fractional)
1 Re 0.0000 0.0000 0.0000  0.09
2 K 0.5000 0.5000 0.5000  0.00
3 I 0.0000 0.0000 0.5000  0.02
4 O 0.5000 0.0000 0.0000  0.00
5 O 0.0000 0.5000 0.0000  0.00

Calculated values
SG: P4/mmm, No. 123
Excess energy over the best structure of this formula in the dataset (kJ/mol of formula units): 0
Fermi-level density of states (states/eV per cell): 2.1
Total magnetization (μB/f.u.): 0.13
E_tot (eV/atom): -5.730

(5)
Compound: KReIO6
Source: Alexandria via LeMat-Bulk
Functional: PBE
Structure: relaxed

Cell: 7.9375 7.0862 5.1483 Å, 100.30 97.37 46.24°
Each line ends with the local moment (μB).
Element x y z (fractional)
1 O 0.1714 0.7087 0.4564  0.22
2 O 0.5445 0.2139 0.1589  0.23
3 O 0.5354 0.8742 0.5274  0.00
4 O 0.9344 0.3563 0.2972  0.01
5 O 0.9814 0.5607 0.7938  0.00
6 O 0.7140 0.4157 0.7411  0.00
7 Re 0.7881 0.5537 0.5924  0.01
8 K 0.9791 0.9644 0.9963  0.00
9 I 0.3514 0.3524 0.4365  0.27

Calculated values
SG: P1, No. 1
Total magnetization (μB/f.u.): 1.00
E_tot (eV/atom): -6.213

(6)
Compound: KRhI2O
Source: Alexandria via LeMat-Bulk
Functional: PBE
Structure: relaxed

Cell: 5.8852 5.8852 3.8170 Å, 90.00 90.00 90.00°
Element x y z (fractional)
1 I 0.0000 0.5000 0.0000
2 I 0.5000 0.0000 0.0000
3 O 0.0000 0.0000 0.5000
4 Rh 0.0000 0.0000 0.0000
5 K 0.5000 0.5000 0.5000

Calculated values
SG: P4/mmm, No. 123
Excess energy over the best structure of this formula in the dataset (kJ/mol of formula units): 0
Fermi-level density of states (states/eV per cell): 3.0
Total magnetization (μB/f.u.): 0.00
E_tot (eV/atom): -3.956

(7)
Compound: KRhI2O
Source: Alexandria via LeMat-Bulk
Functional: PBE
Structure: relaxed

Cell: 6.2673 6.2673 4.3550 Å, 90.00 90.00 90.00°
Each line ends with the local moment (μB).
Element x y z (fractional)
1 I 0.0000 0.5000 0.0000  0.19
2 I 0.5000 0.0000 0.0000  0.19
3 Rh 0.5000 0.5000 0.5000  1.81
4 K 0.0000 0.0000 0.0000  0.00
5 O 0.0000 0.0000 0.5000  -0.02

Calculated values
SG: P4/mmm, No. 123
Excess energy over the best structure of this formula in the dataset (kJ/mol of formula units): 765
Fermi-level density of states (states/eV per cell): 12.1
Total magnetization (μB/f.u.): 2.50
E_tot (eV/atom): -2.370

(8)
Compound: K2SIO6
Source: Alexandria via LeMat-Bulk
Functional: PBE
Structure: relaxed

Cell: 6.5072 7.0537 6.4931 Å, 42.46 47.56 64.00°
Each line ends with the local moment (μB).
Element x y z (fractional)
1 O 0.3344 0.3389 0.4599  0.14
2 O 0.6177 0.7479 0.8716  0.18
3 O 0.2006 0.6587 0.0082  0.14
4 O 0.3823 0.2521 0.1285  0.18
5 O 0.7994 0.3413 0.9918  0.14
6 O 0.6656 0.6611 0.5401  0.14
7 K 0.7603 0.2725 0.4879  0.00
8 K 0.2397 0.7275 0.5121  0.00
9 I 0.0000 0.0000 0.0000  0.00
10 S 0.5000 0.5000 0.0000  -0.01

Calculated values
SG: P-1, No. 2
Fermi-level density of states (states/eV per cell): 4.9
Total magnetization (μB/f.u.): 1.06
E_tot (eV/atom): -4.583

(9)
Compound: K6SI2O
Source: Alexandria via LeMat-Bulk
Functional: PBE
Structure: relaxed

Cell: 8.0381 8.0392 11.3629 Å, 90.00 90.00 90.00°
Each line ends with the local moment (μB).
Element x y z (fractional)
1 K 0.7339 0.4816 0.5000  0.00
2 K 0.5000 0.2485 0.7334  0.00
3 K 0.2661 0.4816 0.5000  0.00
4 K 0.5000 0.2485 0.2666  0.00
5 K 0.0000 0.7515 0.7666  0.00
6 K 0.7661 0.5184 0.0000  0.00
7 K 0.0000 0.7515 0.2334  0.00
8 K 0.7669 0.9852 0.0000  0.00
9 K 0.7331 0.0148 0.5000  0.00
10 K 0.2669 0.0148 0.5000  0.00
11 K 0.2331 0.9852 0.0000  0.00
12 K 0.2339 0.5184 0.0000  0.00
13 I 0.0000 0.2493 0.7499  0.00
14 I 0.0000 0.2493 0.2501  0.00
15 I 0.5000 0.7507 0.2499  0.00
16 I 0.5000 0.7507 0.7501  0.00
17 O 0.0000 0.7513 0.0000  0.05
18 O 0.5000 0.2487 0.5000  0.05
19 S 0.5000 0.2513 0.0000  0.01
20 S 0.0000 0.7487 0.5000  0.01

Calculated values
SG: Pmmn, No. 59
Total magnetization (μB/f.u.): 0.09
E_tot (eV/atom): -3.090

(10)
Compound: KSbIO2
Source: Alexandria via LeMat-Bulk
Functional: PBE
Structure: relaxed

Cell: 4.6437 4.6437 6.1091 Å, 90.00 90.00 90.00°
Element x y z (fractional)
1 Sb 0.5000 0.5000 0.5000
2 O 0.5000 0.0000 0.0000
3 O 0.0000 0.5000 0.0000
4 K 0.0000 0.0000 0.0000
5 I 0.0000 0.0000 0.5000

Calculated values
SG: P4/mmm, No. 123
Excess energy over the best structure of this formula in the dataset (kJ/mol of formula units): 941
Fermi-level density of states (states/eV per cell): 8.8
Total magnetization (μB/f.u.): 0.00
E_tot (eV/atom): -2.603

(11)
Compound: K2SbIO6
Source: Alexandria via LeMat-Bulk
Functional: PBE
Structure: relaxed

Cell: 5.8200 5.8201 5.8223 Å, 59.99 59.99 90.00°
Element x y z (fractional)
1 K 0.2500 0.7500 0.5000
2 K 0.7500 0.2500 0.5000
3 O 0.2473 0.2475 0.0009
4 O 0.7526 0.7526 0.4958
5 O 0.7527 0.7525 0.9991
6 O 0.2480 0.7522 0.0000
7 O 0.7520 0.2478 0.0000
8 O 0.2474 0.2474 0.5043
9 Sb 0.0000 0.0000 0.0000
10 I 0.5000 0.5000 0.0000

Calculated values
SG: Fm-3m, No. 225
Fermi-level density of states (states/eV per cell): 1.1
Total magnetization (μB/f.u.): 0.00
E_tot (eV/atom): -4.843

(12)
Compound: KSbIO2
Source: Alexandria via LeMat-Bulk
Functional: PBE
Structure: relaxed

Cell: 4.3053 4.3053 6.2836 Å, 90.00 90.00 90.00°
Element x y z (fractional)
1 O 0.5000 0.0000 0.0000
2 O 0.0000 0.5000 0.0000
3 Sb 0.0000 0.0000 0.0000
4 I 0.0000 0.0000 0.5000
5 K 0.5000 0.5000 0.5000

Calculated values
SG: P4/mmm, No. 123
Excess energy over the best structure of this formula in the dataset (kJ/mol of formula units): 182
Fermi-level density of states (states/eV per cell): 0.4
Total magnetization (μB/f.u.): 0.00
E_tot (eV/atom): -4.177

(13)
Compound: KSb2IO
Source: Alexandria via LeMat-Bulk
Functional: PBE
Structure: relaxed

Cell: 4.6065 4.6065 7.9524 Å, 90.00 90.00 90.00°
Element x y z (fractional)
1 I 0.0000 0.0000 0.5000
2 Sb 0.5000 0.0000 0.0000
3 Sb 0.0000 0.5000 0.0000
4 K 0.5000 0.5000 0.5000
5 O 0.0000 0.0000 0.0000

Calculated values
SG: P4/mmm, No. 123
Fermi-level density of states (states/eV per cell): 4.2
Total magnetization (μB/f.u.): 0.00
E_tot (eV/atom): -3.564

(14)
Compound: KSbIO2
Source: Alexandria via LeMat-Bulk
Functional: PBE
Structure: relaxed

Cell: 5.5384 6.4094 7.9992 Å, 113.62 90.00 90.00°
Element x y z (fractional)
1 O 0.0000 0.1999 0.0000
2 O 0.0000 0.8001 0.0000
3 O 0.5000 0.1999 0.0000
4 O 0.5000 0.8001 0.0000
5 I 0.2500 0.2282 0.4565
6 I 0.7500 0.7718 0.5435
7 Sb 0.7500 0.0526 0.1053
8 Sb 0.2500 0.9474 0.8947
9 K 0.2500 0.6064 0.2128
10 K 0.7500 0.3936 0.7872

Calculated values
SG: Cmcm, No. 63
Excess energy over the best structure of this formula in the dataset (kJ/mol of formula units): 0
Fermi-level density of states (states/eV per cell): 3.3
Total magnetization (μB/f.u.): 0.00
E_tot (eV/atom): -4.554

(15)
Compound: KScI2O
Source: Alexandria via LeMat-Bulk
Functional: PBE
Structure: relaxed

Cell: 6.1342 6.1342 3.9566 Å, 90.00 90.00 90.00°
Element x y z (fractional)
1 K 0.5000 0.5000 0.5000
2 Sc 0.0000 0.0000 0.0000
3 I 0.5000 0.0000 0.0000
4 I 0.0000 0.5000 0.0000
5 O 0.0000 0.0000 0.5000

Calculated values
SG: P4/mmm, No. 123
Excess energy over the best structure of this formula in the dataset (kJ/mol of formula units): 0
Fermi-level density of states (states/eV per cell): 0.0
Total magnetization (μB/f.u.): 0.00
E_tot (eV/atom): -4.893

(16)
Compound: KScIO2
Source: Alexandria via LeMat-Bulk
Functional: PBE
Structure: relaxed

Cell: 4.2958 4.2958 6.0741 Å, 90.00 90.00 90.00°
Element x y z (fractional)
1 O 0.5000 0.0000 0.0000
2 O 0.0000 0.5000 0.0000
3 Sc 0.0000 0.0000 0.0000
4 I 0.0000 0.0000 0.5000
5 K 0.5000 0.5000 0.5000

Calculated values
SG: P4/mmm, No. 123
Excess energy over the best structure of this formula in the dataset (kJ/mol of formula units): 0
Fermi-level density of states (states/eV per cell): 6.3
Total magnetization (μB/f.u.): 0.00
E_tot (eV/atom): -5.398

(17)
Compound: KSc2IO
Source: Alexandria via LeMat-Bulk
Functional: PBE
Structure: relaxed

Cell: 5.3943 4.4747 5.3943 Å, 90.00 90.00 90.00°
Element x y z (fractional)
1 I 0.5000 0.5000 0.5000
2 K 0.0000 0.0000 0.0000
3 Sc 0.0000 0.0000 0.5000
4 Sc 0.5000 0.0000 0.0000
5 O 0.0000 0.5000 0.0000

Calculated values
SG: P4/mmm, No. 123
Fermi-level density of states (states/eV per cell): 3.4
Total magnetization (μB/f.u.): 0.00
E_tot (eV/atom): -3.407

(18)
Compound: KScIO2
Source: Alexandria via LeMat-Bulk
Functional: PBE
Structure: relaxed

Cell: 4.6022 4.6022 5.9311 Å, 90.00 90.00 90.00°
Each line ends with the local moment (μB).
Element x y z (fractional)
1 O 0.0000 0.5000 0.0000  -0.81
2 O 0.5000 0.0000 0.0000  -0.81
3 Sc 0.5000 0.5000 0.5000  0.74
4 K 0.0000 0.0000 0.0000  -0.06
5 I 0.0000 0.0000 0.5000  -0.02

Calculated values
SG: P4/mmm, No. 123
Excess energy over the best structure of this formula in the dataset (kJ/mol of formula units): 865
Fermi-level density of states (states/eV per cell): 5.2
Total magnetization (μB/f.u.): 1.00
E_tot (eV/atom): -3.606

(19)
Compound: KScI2O
Source: Alexandria via LeMat-Bulk
Functional: PBE
Structure: relaxed

Cell: 6.1027 6.1027 4.2185 Å, 90.00 90.00 90.00°
Element x y z (fractional)
1 Sc 0.5000 0.5000 0.5000
2 I 0.5000 0.0000 0.0000
3 I 0.0000 0.5000 0.0000
4 O 0.0000 0.0000 0.5000
5 K 0.0000 0.0000 0.0000

Calculated values
SG: P4/mmm, No. 123
Excess energy over the best structure of this formula in the dataset (kJ/mol of formula units): 886
Fermi-level density of states (states/eV per cell): 4.0
Total magnetization (μB/f.u.): 0.00
E_tot (eV/atom): -3.057

(20)
Compound: K2ScIO6
Source: Alexandria via LeMat-Bulk
Functional: PBE
Structure: relaxed

Cell: 5.9265 5.9265 10.2483 Å, 73.19 73.19 60.00°
Element x y z (fractional)
1 O 0.1690 0.6040 0.6230
2 O 0.1900 0.1900 0.8877
3 O 0.8310 0.3960 0.3770
4 O 0.8100 0.8100 0.1123
5 O 0.6040 0.1690 0.6230
6 O 0.7324 0.1900 0.8877
7 O 0.2676 0.8100 0.1123
8 O 0.3960 0.3960 0.3770
9 O 0.6040 0.6040 0.6230
10 O 0.3960 0.8310 0.3770
11 O 0.8100 0.2676 0.1123
12 O 0.1900 0.7324 0.8877
13 I 0.0000 0.0000 0.0000
14 I 0.5000 0.5000 0.5000
15 K 0.8675 0.8675 0.3974
16 K 0.1325 0.1325 0.6026
17 K 0.2732 0.2732 0.1804
18 K 0.7268 0.7268 0.8196
19 Sc 0.4022 0.4022 0.7935
20 Sc 0.5978 0.5978 0.2065

Calculated values
SG: R-3m, No. 166
Fermi-level density of states (states/eV per cell): 0.0
Total magnetization (μB/f.u.): 0.00
E_tot (eV/atom): -5.609

(21)
Compound: K12SeI4O3
Source: Alexandria via LeMat-Bulk
Functional: PBE
Structure: relaxed

Cell: 9.6862 9.6862 9.6862 Å, 109.47 109.47 109.47°
Element x y z (fractional)
1 K 0.7263 0.0000 0.7263
2 K 0.2500 0.5000 0.7500
3 K 0.2737 0.0000 0.2737
4 K 0.2737 0.2737 0.0000
5 K 0.5000 0.7500 0.2500
6 K 0.2500 0.7500 0.5000
7 K 0.7263 0.7263 0.0000
8 K 0.0000 0.7263 0.7263
9 K 0.5000 0.2500 0.7500
10 K 0.7500 0.5000 0.2500
11 K 0.0000 0.2737 0.2737
12 K 0.7500 0.2500 0.5000
13 I 0.0000 0.5000 0.0000
14 I 0.5000 0.0000 0.0000
15 I 0.5000 0.5000 0.5000
16 I 0.0000 0.0000 0.5000
17 Se 0.0000 0.0000 0.0000
18 O 0.5000 0.0000 0.5000
19 O 0.0000 0.5000 0.5000
20 O 0.5000 0.5000 0.0000

Calculated values
SG: Im-3m, No. 229
Total magnetization (μB/f.u.): 0.11
E_tot (eV/atom): -3.102

(22)
Compound: KSeI2O8
Source: Alexandria via LeMat-Bulk
Functional: PBE
Structure: relaxed

Cell: 5.6111 6.3844 7.4571 Å, 53.69 67.90 63.93°
Element x y z (fractional)
1 O 0.9103 0.3797 0.7998
2 O 0.6401 0.0135 0.2113
3 O 0.0897 0.6203 0.2002
4 O 0.1351 0.0135 0.2113
5 O 0.3599 0.9865 0.7887
6 O 0.6781 0.5265 0.1173
7 O 0.8649 0.9865 0.7887
8 O 0.3219 0.4735 0.8827
9 Se 0.0000 0.0000 0.0000
10 K 0.5000 0.5000 0.5000
11 I 0.2778 0.2609 0.1836
12 I 0.7222 0.7391 0.8164

Calculated values
SG: C2/m, No. 12
Fermi-level density of states (states/eV per cell): 1.8
Total magnetization (μB/f.u.): 0.00
E_tot (eV/atom): -4.384

(23)
Compound: KSe2IO8
Source: Alexandria via LeMat-Bulk
Functional: PBE
Structure: relaxed

Cell: 5.5287 6.5445 7.3514 Å, 63.93 67.91 65.01°
Element x y z (fractional)
1 O 0.3310 0.4131 0.9248
2 O 0.6690 0.5869 0.0752
3 O 0.8578 0.6348 0.6497
4 O 0.1356 0.0325 0.2216
5 O 0.8644 0.9675 0.7784
6 O 0.6103 0.0325 0.2216
7 O 0.1422 0.3652 0.3503
8 O 0.3897 0.9675 0.7784
9 Se 0.7050 0.7598 0.8303
10 Se 0.2950 0.2402 0.1697
11 I 0.0000 0.0000 0.0000
12 K 0.5000 0.5000 0.5000

Calculated values
SG: C2/m, No. 12
Fermi-level density of states (states/eV per cell): 0.0
Total magnetization (μB/f.u.): 0.00
E_tot (eV/atom): -4.814